# 1
DFT (GGA-PBEsol) results for an optimized crystal structure of MgAlP2S.

a b c (Å): 4.6144 4.7683 4.7683
angles (deg): 90.00 90.00 90.00
Element x y z (fractional)
Mg1 0.0000 0.0000 0.0000
P1 0.0000 0.0000 0.5000
P2 0.0000 0.5000 0.0000
S1 0.5000 0.0000 0.0000
Al1 0.5000 0.5000 0.5000

Properties
DOS(E_F): 1.118 states/eV per atom
E: -3.59 eV per atom
SG: P4/mmm
magnetization: 0.0005 μB per atom

---

# 2
DFT (GGA-PBEsol) results for an optimized crystal structure of FeMoP2.

a b c (Å): 2.9149 3.7962 4.9394
angles (deg): 101.31 90.00 112.58
Element x y z (fractional)
Fe1 0.0000 0.0000 0.5000
Mo1 0.5000 0.0000 0.0000
P1 0.7446 0.4892 0.7110
P2 0.2554 0.5108 0.2890

Properties
DOS(E_F): 0.782 states/eV per atom
E: -8.32 eV per atom
SG: C2/m
magnetization: 0.0881 μB per atom

---

# 3
DFT (GGA-PBEsol) results for an optimized crystal structure of PRu.

a b c (Å): 3.1042 5.4890 6.1499
angles (deg): 90.00 90.00 90.00
Element x y z (fractional)
P1 0.7500 0.3100 0.0629
P2 0.2500 0.6900 0.9371
P3 0.7500 0.8100 0.4371
P4 0.2500 0.1900 0.5629
Ru1 0.7500 0.5041 0.7052
Ru2 0.2500 0.4959 0.2948
Ru3 0.7500 0.0041 0.7948
Ru4 0.2500 0.9959 0.2052

Properties
DOS(E_F): 0.516 states/eV per atom
E: -8.60 eV per atom
SG: Pnma
magnetization: 0.0002 μB per atom